(1)
A geometry-optimized Tc2RuRh2 structure. Source: Alexandria, functional PBE.

Summary:
- final energy (eV/atom) = -8.683
- ρ (kg/m3) = 11204
- DOS at the Fermi energy (states/eV per cell) = 11.11
- magnetization (μB/cell) = 0.238
- ΔE_f (eV/atom) = 0.2587

Cell and atoms, written as CIF:
```
data_Tc2RuRh2
_symmetry_space_group_name_H-M 'P 4/m b m'
_symmetry_Int_Tables_number 127
_symmetry_space_group_name_Hall '-P 4 2ab'
_cell_length_a 7.382
_cell_length_b 7.382
_cell_length_c 2.736
_cell_angle_alpha 90.00
_cell_angle_beta 90.00
_cell_angle_gamma 90.00
loop_
_atom_site_label
_atom_site_type_symbol
_atom_site_fract_x
_atom_site_fract_y
_atom_site_fract_z
Tc1 Tc 0.173 0.327 0.000
Ru1 Ru 0.000 0.000 0.500
Rh1 Rh 0.125 0.625 0.500
```

(2)
A geometry-optimized TcRu2Rh3 structure. Source: Alexandria, functional PBE.

Summary:
- final energy (eV/atom) = -8.554
- ρ (kg/m3) = 11966
- DOS at the Fermi energy (states/eV per cell) = 11.70
- magnetization (μB/cell) = 0.000
- ΔE_f (eV/atom) = -0.0582

Cell and atoms, written as CIF:
```
data_TcRu2Rh3
_symmetry_space_group_name_H-M 'P 1 21/m 1'
_symmetry_Int_Tables_number 11
_symmetry_space_group_name_Hall '-P 2yb'
_cell_length_a 5.477
_cell_length_b 4.333
_cell_length_c 7.250
_cell_angle_alpha 90.00
_cell_angle_beta 100.85
_cell_angle_gamma 90.00
loop_
_atom_site_label
_atom_site_type_symbol
_atom_site_fract_x
_atom_site_fract_y
_atom_site_fract_z
Tc1 Tc 0.194 0.250 0.280
Ru1 Ru 0.029 0.250 0.614
Ru2 Ru 0.361 0.250 0.946
Rh1 Rh 0.137 0.750 0.053
Rh2 Rh 0.307 0.750 0.724
Rh3 Rh 0.475 0.750 0.391
```

(3)
A geometry-optimized Tc3Ru2Rh2 structure. Source: Alexandria, functional PBE.

Summary:
- final energy (eV/atom) = -9.187
- ρ (kg/m3) = 11656
- DOS at the Fermi energy (states/eV per cell) = 8.67
- magnetization (μB/cell) = 0.000
- ΔE_f (eV/atom) = 0.0066

Cell and atoms, written as CIF:
```
data_Tc3Ru2Rh2
_symmetry_space_group_name_H-M 'P -1'
_symmetry_Int_Tables_number 2
_symmetry_space_group_name_Hall '-P 1'
_cell_length_a 2.709
_cell_length_b 6.117
_cell_length_c 6.684
_cell_angle_alpha 111.63
_cell_angle_beta 90.01
_cell_angle_gamma 102.76
loop_
_atom_site_label
_atom_site_type_symbol
_atom_site_fract_x
_atom_site_fract_y
_atom_site_fract_z
Tc1 Tc 0.000 0.000 0.000
Tc2 Tc 0.285 0.570 0.860
Ru1 Ru 0.426 0.852 0.276
Rh1 Rh 0.141 0.282 0.427
```